Entry 1:
A relaxed Ti6GaTc5 crystal. Source: the Alexandria database, functional GGA-PBE.

## Properties
- magnetization (μB/atom) = 0.00
- N(E_F) (states/eV per atom) = 0.65
- energy relative to the elements (meV per atom) = -530
- symmetry = No. 71

a = 4.3760 Å, b = 6.2945 Å, c = 7.6157 Å
α = 114.41°, β = 106.70°, γ = 90.00°
Closest atoms and distances in Å follow each position.
Element x y z (fractional)
Tc  0.6607  0.1607  0.3214  8 Ti 2.69-2.72
Tc  0.3393  0.8393  0.6786  8 Ti 2.69-2.72
Tc  0.0000  0.5000  0.0000  8 Ti 2.64-2.72
Tc  0.6680  0.6680  0.3361  8 Ti 2.66-2.67
Tc  0.3320  0.3320  0.6639  8 Ti 2.66-2.67
Ti  0.1709  0.9147  0.3418  7 Tc 2.66-2.72, 1 Ga 2.77
Ti  0.5000  0.2653  0.0000  6 Tc 2.64-2.69, 2 Ga 2.75, 1 Ti 2.96
Ti  0.5000  0.7347  0.0000  6 Tc 2.64-2.69, 2 Ga 2.75, 1 Ti 2.96
Ti  0.8291  0.0853  0.6582  7 Tc 2.66-2.72, 1 Ga 2.77
Ti  0.1709  0.4271  0.3418  7 Tc 2.66-2.72, 1 Ga 2.77
Ti  0.8291  0.5729  0.6582  7 Tc 2.66-2.72, 1 Ga 2.77
Ga  0.0000  0.0000  0.0000  8 Ti 2.75-2.77, 4 Tc 3.04

Entry 2:
A relaxed AlGeF crystal. Source: the Alexandria database, functional GGA-PBE.

## Properties
- E_form (uncorrected) (eV/atom) = -1.22
- magnetization (μB/atom) = 0.00
- N(E_F) (states/eV per atom) = 0.17
- symmetry = No. 2

a = 2.8985 Å, b = 4.9538 Å, c = 8.9173 Å
α = 120.42°, β = 87.05°, γ = 102.67°
Closest atoms and distances in Å follow each position.
Element x y z (fractional)
Ge  0.2286  0.1556  0.3990  4 Al 2.60-2.76, 2 Ge 2.90
Ge  0.7714  0.8444  0.6010  4 Al 2.60-2.76, 2 Ge 2.90
Al  0.7849  0.4405  0.7046  2 F 1.88
Al  0.2151  0.5595  0.2954  2 F 1.88
F  0.3156  0.5886  0.8609  2 Al 1.88
F  0.6844  0.4114  0.1391  2 Al 1.88